(1)
Material: GaHRu
Method: DFT, PBE
State: optimized geometry

Summary:
Energy in eV per atom: -5.30
Volume in Å³/f.u.: 32.4
Total moment in μB per formula unit: 0.00
Crystal system: orthorhombic

a = 2.9898 Å, b = 5.2959 Å, c = 8.1803 Å
α = 90.00°, β = 90.00°, γ = 90.00°
Sites, in units of the cell vectors:
Ru: 0.2500 0.2513 0.0226
Ru: 0.7500 0.7513 0.4774
Ru: 0.2500 0.2487 0.5226
Ru: 0.7500 0.7487 0.9774
H: 0.7500 0.4078 0.4365
H: 0.2500 0.9078 0.0635
H: 0.7500 0.0922 0.9365
H: 0.2500 0.5922 0.5635
Ga: 0.2500 0.5954 0.2343
Ga: 0.2500 0.9046 0.7343
Ga: 0.7500 0.4046 0.7657
Ga: 0.7500 0.0954 0.2657



(2)
Material: Dy8Y3Tm3
Method: DFT, PBE
State: optimized geometry

Summary:
Energy of formation from the pure elements in meV/atom: 106.4
Volume in Å³/f.u.: 444.6
Total moment in μB per formula unit: 0.00
Crystal system: orthorhombic

a = 5.5802 Å, b = 9.5777 Å, c = 9.5776 Å
α = 101.74°, β = 73.06°, γ = 73.06°
Sites, in units of the cell vectors:
Y: 0.0000 0.1805 0.8195
Y: 0.5000 0.0000 0.0000
Y: 0.0000 0.8195 0.1805
Dy: 0.8405 0.5560 0.7627
Dy: 0.3412 0.8805 0.4373
Dy: 0.8405 0.7627 0.5560
Dy: 0.1595 0.4440 0.2373
Dy: 0.6588 0.1195 0.5627
Dy: 0.1595 0.2373 0.4440
Dy: 0.6588 0.5627 0.1195
Dy: 0.3412 0.4373 0.8805
Tm: 0.5000 0.5000 0.5000
Tm: 0.7963 0.2039 0.2039
Tm: 0.2037 0.7961 0.7961



(3)
Material: Ac3Sm2YS6
Method: DFT, PBE
State: optimized geometry

Summary:
Energy in eV per atom: -6.42
Volume in Å³/f.u.: 301.2
Total moment in μB per formula unit: 0.00
Crystal system: monoclinic

a = 7.1053 Å, b = 7.1053 Å, c = 7.2953 Å
α = 99.36°, β = 99.36°, γ = 120.12°
Sites, in units of the cell vectors:
Sm: 0.3334 0.6666 0.0000
Sm: 0.6666 0.3334 0.0000
Ac: 0.8315 0.1685 0.5000
Ac: 0.5000 0.5000 0.5000
Ac: 0.1685 0.8315 0.5000
S: 0.4029 0.0748 0.2249
S: 0.5971 0.9252 0.7751
S: 0.2524 0.2524 0.7729
S: 0.7476 0.7476 0.2271
S: 0.0748 0.4029 0.2249
S: 0.9252 0.5971 0.7751
Y: 0.0000 0.0000 0.0000



(4)
Material: MgSe2NO
Method: DFT, PBE
State: optimized geometry

Summary:
Energy in eV per atom: -3.55
Volume in Å³/f.u.: 76.3
Total moment in μB per formula unit: 0.33
Crystal system: tetragonal

a = 4.3480 Å, b = 4.3480 Å, c = 4.0385 Å
α = 90.00°, β = 90.00°, γ = 90.00°
Site moments in Bohr magnetons follow the coordinates.
Sites, in units of the cell vectors:
Se: 0.0000 0.5000 0.0000  0.03
Se: 0.5000 0.0000 0.0000  0.03
Mg: 0.5000 0.5000 0.5000  0.00
O: 0.0000 0.0000 0.0000  -0.02
N: 0.0000 0.0000 0.5000  0.20



(5)
Material: Pm4Si2Br3
Method: DFT, PBE
State: optimized geometry

Summary:
Energy in eV per atom: -5.13
Volume in Å³/f.u.: 278.6
Total moment in μB per formula unit: 0.00
Crystal system: monoclinic

a = 4.2363 Å, b = 4.2374 Å, c = 17.9200 Å
α = 89.64°, β = 90.00°, γ = 119.99°
Sites, in units of the cell vectors:
Br: 0.3401 0.6801 0.6053
Br: 0.6599 0.3199 0.3947
Br: 0.0000 0.0000 0.0000
Pm: 0.0051 0.0103 0.7054
Pm: 0.3354 0.6708 0.8835
Pm: 0.6646 0.3292 0.1165
Pm: 0.9949 0.9897 0.2946
Si: 0.3298 0.6596 0.2015
Si: 0.6702 0.3404 0.7985



(6)
Material: Rb2CuP
Method: DFT, PBE
State: optimized geometry

Summary:
Energy of formation from the pure elements in meV/atom: 514.1
Volume in Å³/f.u.: 133.5
Total moment in μB per formula unit: 0.16
Crystal system: cubic

a = 5.7363 Å, b = 5.7363 Å, c = 5.7363 Å
α = 60.00°, β = 60.00°, γ = 60.00°
Site moments in Bohr magnetons follow the coordinates.
Sites, in units of the cell vectors:
Rb: 0.2500 0.2500 0.2500  0.00
Rb: 0.7500 0.7500 0.7500  0.00
Cu: 0.5000 0.5000 0.5000  0.01
P: 0.0000 0.0000 0.0000  0.07



(7)
Material: Tb8Er3Th2
Method: DFT, PBE
State: optimized geometry

Summary:
Energy of formation from the pure elements in meV/atom: 270.2
Volume in Å³/f.u.: 431.2
Total moment in μB per formula unit: 0.00
Crystal system: monoclinic

a = 5.6462 Å, b = 7.3683 Å, c = 10.9993 Å
α = 109.57°, β = 90.01°, γ = 90.00°
Sites, in units of the cell vectors:
Tb: 0.0003 0.8616 0.7231
Tb: 0.5000 0.1760 0.7843
Tb: 0.0003 0.6670 0.3340
Tb: 0.5000 0.3916 0.2157
Tb: 0.5000 0.6084 0.7843
Tb: 0.9997 0.3330 0.6660
Tb: 0.9997 0.1384 0.2769
Tb: 0.5000 0.8240 0.2157
Th: 0.4995 0.2450 0.4901
Th: 0.5005 0.7550 0.5099
Er: 0.0000 0.2737 0.0000
Er: 0.5000 0.0000 0.0000
Er: 0.0000 0.7263 0.0000



(8)
Material: RuRh5
Method: DFT, PBE
State: optimized geometry

Summary:
Energy of formation from the pure elements in meV/atom: 496.2
Volume in Å³/f.u.: 90.3
Total moment in μB per formula unit: 0.36
Crystal system: cubic

a = 5.0354 Å, b = 5.0354 Å, c = 5.0354 Å
α = 60.00°, β = 60.00°, γ = 60.00°
Site moments in Bohr magnetons follow the coordinates.
Sites, in units of the cell vectors:
Rh: 0.3750 0.3750 0.3750  -0.02
Rh: 0.8750 0.3750 0.3750  -0.02
Rh: 0.3750 0.3750 0.8750  -0.02
Rh: 0.3750 0.8750 0.3750  -0.02
Rh: 0.7500 0.7500 0.7500  -0.20
Ru: 0.0000 0.0000 0.0000  0.65